a) The following is a PBE-GGA calculation of La4CuTc after structural relaxation, from Alexandria via LeMat-Bulk.

Calculated values
Magnetic moment   0.0019 μB per atom

a b c (Å): 6.180 6.180 6.180
angles (deg): 60.00 60.00 60.00
Fractional coordinates of all 6 atoms:
La (0.124, 0.124, 0.124)
La (0.124, 0.124, 0.627)
La (0.124, 0.627, 0.124)
La (0.627, 0.124, 0.124)
Cu (0.500, 0.500, 0.500)
Tc (0.750, 0.750, 0.750)

***

b) The following is a PBE-GGA calculation of La4CuTc after structural relaxation, from Alexandria via LeMat-Bulk.

Calculated values
Magnetic moment   0.0000 μB per atom

a b c (Å): 7.765 7.765 6.479
angles (deg): 98.14 98.14 112.24
Fractional coordinates of all 12 atoms:
La (0.065, 0.722, 0.968)
La (0.221, 0.378, 0.577)
La (0.278, 0.935, 0.532)
La (0.378, 0.221, 0.077)
La (0.622, 0.779, 0.923)
La (0.722, 0.065, 0.468)
La (0.779, 0.622, 0.423)
La (0.935, 0.278, 0.032)
Cu (0.374, 0.626, 0.250)
Cu (0.626, 0.374, 0.750)
Tc (0.000, 0.000, 0.250)
Tc (0.000, 0.000, 0.750)

***

b) is preferred energetically. Next in line: 97.9 kJ/mol of atoms higher.

***

a) The following is a PBE-GGA calculation of LaCu2Tc2 after structural relaxation, from Alexandria via LeMat-Bulk.

Calculated values
Magnetic moment   0.0000 μB per atom

a b c (Å): 7.703 7.703 2.862
angles (deg): 90.00 90.00 90.00
Fractional coordinates of all 10 atoms:
La (0.000, 0.000, 0.000)
La (0.500, 0.500, 0.000)
Cu (0.180, 0.320, 0.500)
Cu (0.320, 0.820, 0.500)
Cu (0.680, 0.180, 0.500)
Cu (0.820, 0.680, 0.500)
Tc (0.108, 0.608, 0.000)
Tc (0.392, 0.108, 0.000)
Tc (0.608, 0.892, 0.000)
Tc (0.892, 0.392, 0.000)

***

b) The following is a PBE-GGA calculation of LaCu2Tc2 after structural relaxation, from Alexandria via LeMat-Bulk.

Calculated values
Magnetic moment   0.0000 μB per atom

a b c (Å): 5.900 5.900 5.900
angles (deg): 137.22 137.22 62.11
Fractional coordinates of all 5 atoms:
La (0.000, 0.000, 0.000)
Cu (0.250, 0.750, 0.500)
Cu (0.750, 0.250, 0.500)
Tc (0.391, 0.391, 0.000)
Tc (0.609, 0.609, 0.000)

***

b) is preferred energetically. Next in line: 7.1 kJ/mol of atoms higher.

***

a) The following is a PBE-GGA calculation of LaCuTe3 after structural relaxation, from Alexandria via LeMat-Bulk.

Calculated values
Magnetic moment   0.0000 μB per atom

a b c (Å): 6.108 6.108 6.108
angles (deg): 90.00 90.00 90.00
Fractional coordinates of all 5 atoms:
La (0.000, 0.000, 0.000)
Cu (0.500, 0.500, 0.500)
Te (0.000, 0.000, 0.500)
Te (0.000, 0.500, 0.000)
Te (0.500, 0.000, 0.000)

***

b) The following is a PBE-GGA calculation of LaCuTe3 after structural relaxation, from Alexandria via LeMat-Bulk.

Calculated values
Magnetic moment   0.0000 μB per atom

a b c (Å): 5.204 5.204 5.204
angles (deg): 90.00 90.00 90.00
Fractional coordinates of all 5 atoms:
La (0.000, 0.000, 0.000)
Cu (0.500, 0.500, 0.500)
Te (0.000, 0.500, 0.500)
Te (0.500, 0.000, 0.500)
Te (0.500, 0.500, 0.000)

***

b) is preferred energetically. Next in line: 76.9 kJ/mol of atoms higher.